# NaLi2TcOs

A relaxed NaLi2TcOs crystal (GGA-PBEsol, Alexandria).

Lattice parameters (Å, degrees): 4.488 4.976 4.976 90.00 90.00 90.00
Sites, in units of the cell vectors:
Na 0.500 0.500 0.500
Os 0.500 0.000 0.000
Tc 0.000 0.000 0.000
Li 0.000 0.000 0.500
Li 0.000 0.500 0.000

The total energy is -4.64 eV/atom. Its total moment is 0.000 μB per atom.



# NaLi3P

A relaxed NaLi3P crystal (GGA-PBEsol, Alexandria).

Lattice parameters (Å, degrees): 4.739 4.739 4.739 90.00 90.00 90.00
Sites, in units of the cell vectors:
P 0.000 0.000 0.000
Li 0.000 0.500 0.000
Li 0.000 0.000 0.500
Li 0.500 0.000 0.000
Na 0.500 0.500 0.500

The total energy is -2.96 eV/atom. Its total moment is 0.000 μB per atom.



# NaLi2Pb

A relaxed NaLi2Pb crystal (GGA-PBEsol, Alexandria).

Lattice parameters (Å, degrees): 4.917 4.917 4.917 60.00 60.00 60.00
Sites, in units of the cell vectors:
Pb 0.500 0.500 0.500
Na 0.000 0.000 0.000
Li 0.250 0.250 0.250
Li 0.750 0.750 0.750

The total energy is -2.60 eV/atom. Its total moment is 0.000 μB per atom.



# NaLi2Pb2

A relaxed NaLi2Pb2 crystal (GGA-PBEsol, Alexandria).

Lattice parameters (Å, degrees): 3.382 8.426 8.426 90.00 90.00 90.00
Sites, in units of the cell vectors:
Pb 0.000 0.370 0.870
Pb 0.000 0.870 0.630
Pb 0.000 0.630 0.130
Pb 0.000 0.130 0.370
Na 0.000 0.000 0.000
Na 0.000 0.500 0.500
Li 0.500 0.167 0.667
Li 0.500 0.667 0.833
Li 0.500 0.833 0.333
Li 0.500 0.333 0.167

The total energy is -2.89 eV/atom. Its total moment is 0.000 μB per atom.



# Na2LiPb

A relaxed Na2LiPb crystal (GGA-PBEsol, Alexandria).

Lattice parameters (Å, degrees): 4.371 4.371 11.736 100.73 100.73 90.00
Sites, in units of the cell vectors:
Pb 0.250 0.750 0.500
Pb 0.000 0.000 0.000
Na 0.881 0.375 0.250
Na 0.369 0.875 0.250
Na 0.625 0.631 0.750
Na 0.125 0.119 0.750
Li 0.750 0.250 0.500
Li 0.500 0.500 0.000

The total energy is -2.21 eV/atom. Its total moment is 0.000 μB per atom.



# NaLi2Pd

A relaxed NaLi2Pd crystal (GGA-PBEsol, Alexandria).

Lattice parameters (Å, degrees): 4.549 4.549 4.549 60.00 60.00 60.00
Sites, in units of the cell vectors:
Na 0.000 0.000 0.000
Pd 0.500 0.500 0.500
Li 0.250 0.250 0.250
Li 0.750 0.750 0.750

The total energy is -2.95 eV/atom. Its total moment is 0.000 μB per atom.



# NaLi2Pd2

A relaxed NaLi2Pd2 crystal (GGA-PBEsol, Alexandria).

Lattice parameters (Å, degrees): 2.773 7.554 7.554 90.00 90.00 90.00
Sites, in units of the cell vectors:
Na 0.000 0.000 0.000
Na 0.000 0.500 0.500
Pd 0.000 0.371 0.871
Pd 0.000 0.871 0.629
Pd 0.000 0.629 0.129
Pd 0.000 0.129 0.371
Li 0.500 0.162 0.662
Li 0.500 0.662 0.838
Li 0.500 0.838 0.338
Li 0.500 0.338 0.162

The total energy is -3.65 eV/atom. Its total moment is 0.000 μB per atom.



# NaLiPd2

A relaxed NaLiPd2 crystal (GGA-PBEsol, Alexandria).

Lattice parameters (Å, degrees): 4.404 4.404 4.404 60.00 60.00 60.00
Sites, in units of the cell vectors:
Na 0.500 0.500 0.500
Pd 0.250 0.250 0.250
Pd 0.750 0.750 0.750
Li 0.000 0.000 0.000

The total energy is -3.85 eV/atom. Its total moment is 0.000 μB per atom.



# Na2LiPd2

A relaxed Na2LiPd2 crystal (GGA-PBEsol, Alexandria).

Lattice parameters (Å, degrees): 3.814 3.814 7.287 105.17 105.17 90.00
Sites, in units of the cell vectors:
Na 0.250 0.750 0.500
Na 0.750 0.250 0.500
Pd 0.406 0.406 0.811
Pd 0.594 0.594 0.189
Li 0.000 0.000 0.000

The total energy is -3.06 eV/atom. Its total moment is 0.000 μB per atom.



# NaLi3Pd

A relaxed NaLi3Pd crystal (GGA-PBEsol, Alexandria).

Lattice parameters (Å, degrees): 4.826 4.826 4.826 90.00 90.00 90.00
Sites, in units of the cell vectors:
Na 0.500 0.500 0.500
Pd 0.000 0.000 0.000
Li 0.000 0.500 0.000
Li 0.000 0.000 0.500
Li 0.500 0.000 0.000

The total energy is -2.69 eV/atom. Its total moment is 0.000 μB per atom.



# NaLi2Pd2

A relaxed NaLi2Pd2 crystal (GGA-PBEsol, Alexandria).

Lattice parameters (Å, degrees): 4.498 4.498 5.439 114.42 114.42 90.00
Sites, in units of the cell vectors:
Na 0.000 0.000 0.000
Pd 0.355 0.355 0.711
Pd 0.645 0.645 0.289
Li 0.250 0.750 0.500
Li 0.750 0.250 0.500

The total energy is -3.44 eV/atom. Its total moment is 0.000 μB per atom.



# Na2Li2Pd

A relaxed Na2Li2Pd crystal (GGA-PBEsol, Alexandria).

Lattice parameters (Å, degrees): 4.993 6.527 6.527 90.00 90.00 90.00
Sites, in units of the cell vectors:
Na 0.500 0.191 0.691
Na 0.500 0.691 0.809
Na 0.500 0.809 0.309
Na 0.500 0.309 0.191
Pd 0.000 0.000 0.000
Pd 0.000 0.500 0.500
Li 0.000 0.348 0.848
Li 0.000 0.848 0.652
Li 0.000 0.652 0.152
Li 0.000 0.152 0.348

The total energy is -2.53 eV/atom. Its total moment is 0.000 μB per atom.



# NaLi2Pt2

A relaxed NaLi2Pt2 crystal (GGA-PBEsol, Alexandria).

Lattice parameters (Å, degrees): 2.622 7.679 7.679 90.00 90.00 90.00
Sites, in units of the cell vectors:
Na 0.000 0.000 0.000
Na 0.000 0.500 0.500
Pt 0.500 0.169 0.669
Pt 0.500 0.669 0.831
Pt 0.500 0.831 0.331
Pt 0.500 0.331 0.169
Li 0.000 0.376 0.876
Li 0.000 0.876 0.624
Li 0.000 0.624 0.124
Li 0.000 0.124 0.376

The total energy is -4.14 eV/atom. Its total moment is 0.000 μB per atom.



# NaLiPt2

A relaxed NaLiPt2 crystal (GGA-PBEsol, Alexandria).

Lattice parameters (Å, degrees): 4.347 4.347 4.347 60.00 60.00 60.00
Sites, in units of the cell vectors:
Na 0.500 0.500 0.500
Pt 0.250 0.250 0.250
Pt 0.750 0.750 0.750
Li 0.000 0.000 0.000

The total energy is -4.28 eV/atom. Its total moment is 0.000 μB per atom.



# NaLiPt3

A relaxed NaLiPt3 crystal (GGA-PBEsol, Alexandria).

Lattice parameters (Å, degrees): 4.613 4.613 4.613 90.00 90.00 90.00
Sites, in units of the cell vectors:
Na 0.000 0.000 0.000
Pt 0.000 0.500 0.000
Pt 0.000 0.000 0.500
Pt 0.500 0.000 0.000
Li 0.500 0.500 0.500

The total energy is -3.49 eV/atom. Its total moment is 0.000 μB per atom.



# Na3LiPt

A relaxed Na3LiPt crystal (GGA-PBEsol, Alexandria).

Lattice parameters (Å, degrees): 5.439 5.439 5.439 90.00 90.00 90.00
Sites, in units of the cell vectors:
Na 0.000 0.500 0.000
Na 0.000 0.000 0.500
Na 0.500 0.000 0.000
Pt 0.000 0.000 0.000
Li 0.500 0.500 0.500

The total energy is -2.40 eV/atom. Its total moment is 0.000 μB per atom.



# NaLi2SbPt

A relaxed NaLi2SbPt crystal (GGA-PBEsol, Alexandria).

Lattice parameters (Å, degrees): 4.291 4.291 5.110 90.00 90.00 90.00
Sites, in units of the cell vectors:
Sb 0.000 0.000 0.500
Li 0.000 0.500 0.000
Li 0.500 0.000 0.000
Pt 0.500 0.500 0.500
Na 0.000 0.000 0.000

The total energy is -2.85 eV/atom. As for the raw formation energy: 0.5208 eV per atom. Its total moment is 0.000 μB per atom.



# RbNaLi2

A relaxed RbNaLi2 crystal (GGA-PBEsol, Alexandria).

Lattice parameters (Å, degrees): 5.166 5.166 12.767 101.67 101.67 90.00
Sites, in units of the cell vectors:
Na 0.750 0.250 0.500
Na 0.500 0.500 0.000
Rb 0.250 0.750 0.500
Rb 0.000 0.000 0.000
Li 0.451 0.875 0.250
Li 0.799 0.375 0.250
Li 0.125 0.201 0.750
Li 0.625 0.549 0.750

The total energy is -1.35 eV/atom. Its total moment is 0.000 μB per atom.



# Rb2NaLi

A relaxed Rb2NaLi crystal (GGA-PBEsol, Alexandria).

Lattice parameters (Å, degrees): 7.928 8.488 8.488 77.40 62.16 62.16
Sites, in units of the cell vectors:
Na 0.000 0.000 0.000
Na 0.750 0.500 0.500
Rb 0.609 0.016 0.516
Rb 0.141 0.984 0.484
Rb 0.375 0.484 0.016
Rb 0.875 0.516 0.984
Li 0.500 0.000 0.000
Li 0.250 0.500 0.500

The total energy is -1.17 eV/atom. Its total moment is 0.000 μB per atom.



# Rb2NaLi2

A relaxed Rb2NaLi2 crystal (GGA-PBEsol, Alexandria).

Lattice parameters (Å, degrees): 6.246 8.702 8.702 90.00 90.00 90.00
Sites, in units of the cell vectors:
Na 0.000 0.000 0.000
Na 0.000 0.500 0.500
Rb 0.500 0.181 0.681
Rb 0.500 0.681 0.819
Rb 0.500 0.819 0.319
Rb 0.500 0.319 0.181
Li 0.000 0.376 0.876
Li 0.000 0.876 0.624
Li 0.000 0.624 0.124
Li 0.000 0.124 0.376

The total energy is -1.34 eV/atom. Its total moment is 0.000 μB per atom.



# Na2LiReSb

A relaxed Na2LiReSb crystal (GGA-PBEsol, Alexandria).

Lattice parameters (Å, degrees): 4.839 5.555 5.555 90.00 90.00 90.00
Each line ends with the local moment (μB).
Sites, in units of the cell vectors:
Re 0.000 0.000 0.000  3.07
Li 0.500 0.000 0.000  0.00
Na 0.000 0.000 0.500  0.02
Na 0.000 0.500 0.000  0.02
Sb 0.500 0.500 0.500  0.10

The total energy is -3.02 eV/atom. As for the raw formation energy: 1.5121 eV per atom. Its total moment is 0.829 μB per atom.



# NaLi3Rh

A relaxed NaLi3Rh crystal (GGA-PBEsol, Alexandria).

Lattice parameters (Å, degrees): 4.720 4.720 4.720 90.00 90.00 90.00
Sites, in units of the cell vectors:
Na 0.500 0.500 0.500
Rh 0.000 0.000 0.000
Li 0.000 0.500 0.000
Li 0.000 0.000 0.500
Li 0.500 0.000 0.000

The total energy is -2.85 eV/atom. Its total moment is 0.000 μB per atom.



# Na2Li2Rh

A relaxed Na2Li2Rh crystal (GGA-PBEsol, Alexandria).

Lattice parameters (Å, degrees): 3.767 3.767 6.868 105.92 105.92 90.00
Sites, in units of the cell vectors:
Na 0.250 0.750 0.500
Na 0.750 0.250 0.500
Rh 0.000 0.000 0.000
Li 0.420 0.420 0.841
Li 0.580 0.580 0.159

The total energy is -2.44 eV/atom. Its total moment is 0.000 μB per atom.



# NaLi2Ru

A relaxed NaLi2Ru crystal (GGA-PBEsol, Alexandria).

Lattice parameters (Å, degrees): 4.499 4.499 4.499 60.00 60.00 60.00
Each line ends with the local moment (μB).
Sites, in units of the cell vectors:
Ru 0.500 0.500 0.500  1.25
Li 0.250 0.250 0.250  -0.01
Li 0.750 0.750 0.750  -0.01
Na 0.000 0.000 0.000  -0.02

The total energy is -3.18 eV/atom. Its total moment is 0.294 μB per atom.



# NaLi3Ru

A relaxed NaLi3Ru crystal (GGA-PBEsol, Alexandria).

Lattice parameters (Å, degrees): 4.206 4.206 4.206 90.00 90.00 90.00
Sites, in units of the cell vectors:
Ru 0.500 0.500 0.500
Li 0.000 0.500 0.000
Li 0.000 0.000 0.500
Li 0.500 0.000 0.000
Na 0.000 0.000 0.000

The total energy is -2.42 eV/atom. Its total moment is 0.004 μB per atom.



# NaLiTlRu2

A relaxed NaLiTlRu2 crystal (GGA-PBEsol, Alexandria).

Lattice parameters (Å, degrees): 4.280 4.322 4.322 90.00 90.00 90.00
Each line ends with the local moment (μB).
Sites, in units of the cell vectors:
Ru 0.000 0.000 0.500  0.93
Ru 0.000 0.500 0.000  0.93
Tl 0.500 0.500 0.500  -0.02
Li 0.000 0.000 0.000  -0.01
Na 0.500 0.000 0.000  -0.01

The total energy is -4.18 eV/atom. Its total moment is 0.385 μB per atom.



# NaLiS2

A relaxed NaLiS2 crystal (GGA-PBEsol, Alexandria).

Lattice parameters (Å, degrees): 4.550 4.550 4.550 60.00 60.00 60.00
Sites, in units of the cell vectors:
Na 0.500 0.500 0.500
S 0.250 0.250 0.250
S 0.750 0.750 0.750
Li 0.000 0.000 0.000

The total energy is -3.56 eV/atom. As for the raw formation energy: -0.5287 eV per atom. Its total moment is 0.000 μB per atom.